Here is BeNi2 at its PBEsol-relaxed geometry from the Alexandria database. Energies are from meta-GGA SCAN.

Cell: 3.7518 3.7518 4.5999 Å, 90.00 90.00 120.00°
Space group P6_3/mmc (No. 194)
Asymmetric unit:
Be (0.3333, 0.6667, 0.2500) x2
Ni (0.0000, 0.0000, 0.0000) x2
Ni (0.3333, 0.6667, 0.7500) x2

Summary:
V = 56.1 Å³/cell
total magnetic moment = 0.41 μB/f.u.
energy of formation = -0.261 eV/atom